Here is Re2AgHg after structural relaxation from Alexandria. Energies are from PBE.

Properties
Its space group is Immm (71). The density of states at the Fermi level is 0.7968 states/eV/atom. The calculation puts the formation energy at 845 meV per atom.

Cell: 5.612 5.612 5.612 Å, 147.98 133.13 57.89°
Fractional positions:
Re  0.248  0.248  0.000
Re  0.752  0.752  0.000
Ag  0.500  0.000  0.500
Hg  0.000  0.500  0.500



Here is TmLuMgTl after structural relaxation from Alexandria. Energies are from PBE.

Properties
Its space group is F-43m (216). The density of states at the Fermi level is 0.8235 states/eV/atom. The calculation puts the formation energy at -179 meV per atom.

Cell: 5.262 5.262 5.262 Å, 60.00 60.00 60.00°
Fractional positions:
Tm  0.000  0.000  0.000
Lu  0.500  0.500  0.500
Mg  0.250  0.250  0.250
Tl  0.750  0.750  0.750



Here is CeNd2Th after structural relaxation from Alexandria. Energies are from PBE.

Properties
Its space group is R3m (160). The density of states at the Fermi level is 1.9508 states/eV/atom. The calculation puts the formation energy at 96 meV per atom. The relative energy among the computed polymorphs is 0.006 eV/atom.

Cell: 11.994 11.994 11.994 Å, 17.17 17.17 17.17°
Fractional positions:
Ce  0.000  0.000  0.000
Nd  0.415  0.415  0.415
Nd  0.585  0.585  0.585
Th  0.833  0.833  0.833



Here is CdPtBr after structural relaxation from Alexandria. Energies are from PBE.

Properties
Its space group is P3m1 (156). The density of states at the Fermi level is 0.2154 states/eV/atom. The relative energy among the computed polymorphs is 0.034 eV/atom. The formation energy without anion corrections is 69 meV/atom.

Cell: 3.503 3.503 6.072 Å, 90.00 90.00 120.00°
Fractional positions:
Cd  0.000  0.000  0.000
Pt  0.333  0.667  0.304
Br  0.667  0.333  0.648



Here is Er2PdPt5 after structural relaxation from Alexandria. Energies are from PBE.

Properties
Its space group is Pbam (55). The density of states at the Fermi level is 0.8523 states/eV/atom. The calculation puts the formation energy at -1048 meV per atom.

Cell: 5.796 11.597 4.101 Å, 90.00 90.00 90.00°
Fractional positions:
Er  0.246  0.124  0.000
Er  0.254  0.624  0.000
Er  0.746  0.376  0.000
Er  0.754  0.876  0.000
Pd  0.000  0.000  0.500
Pd  0.500  0.500  0.500
Pt  0.000  0.500  0.500
Pt  0.006  0.750  0.500
Pt  0.245  0.374  0.000
Pt  0.255  0.874  0.000
Pt  0.494  0.250  0.500
Pt  0.500  0.000  0.500
Pt  0.506  0.750  0.500
Pt  0.745  0.126  0.000
Pt  0.755  0.626  0.000
Pt  0.994  0.250  0.500



Here is CeYTe2 after structural relaxation from Alexandria. Energies are from PBE.

Properties
Its space group is R3m (160). The density of states at the Fermi level is 1.8375 states/eV/atom. The relative energy among the computed polymorphs is 0.038 eV/atom. The formation energy without anion corrections is -1315 meV/atom.

Cell: 8.267 8.267 8.267 Å, 29.83 29.83 29.83°
Fractional positions:
Ce  0.000  0.000  0.000
Y  0.827  0.827  0.827
Te  0.416  0.416  0.416
Te  0.578  0.578  0.578



Question: Which of these has the highest density of states at the Fermi level?
Answer: CeNd2Th